1.
6
Lattice="3.597 0.000 0.000 0.000 3.597 0.000 0.000 0.000 11.919" Properties=species:S:1:pos:R:3 comment="Ca3InAu2 | the Alexandria database | GGA-PBE | optimized geometry" delta_e_f_kj_per_mol_fu=-392 crystal_system=tetragonal dos_at_fermi_per_ev_atom=0.540 magnetic_moment_mub_per_atom=0.0000 pbc="T T T"
Ca 0.000 0.000 0.000
Ca 0.000 0.000 3.677
Ca 0.000 0.000 8.242
In 1.799 1.799 5.960
Au 1.799 1.799 1.875
Au 1.799 1.799 10.044


2.
12
Lattice="2.801 1.617 9.316 -2.801 1.617 9.316 0.000 -3.234 9.316" Properties=species:S:1:pos:R:3 comment="CaIn3Au8 | the Alexandria database | GGA-PBE | optimized geometry" delta_e_f_kj_per_mol_fu=-278 crystal_system=trigonal dos_at_fermi_per_ev_atom=0.503 magnetic_moment_mub_per_atom=0.0000 pbc="T T T"
Ca 0.000 0.000 0.000
In 0.000 0.000 3.558
In 0.000 0.000 13.938
In 0.000 0.000 17.315
Au -1.406 -0.812 11.047
Au 0.000 -1.620 6.434
Au -1.403 0.810 6.434
Au 0.000 0.000 8.748
Au 1.406 -0.812 11.047
Au 0.000 1.624 11.047
Au 1.403 0.810 6.434
Au 0.000 0.000 22.715